Record 1
Computed, not measured: a geometry-optimized HoZrGaOs structure at the GGA-PBE level of DFT.

Cell: 6.7928 6.7928 6.7928 Å, 90.00 90.00 90.00°
Space group F-43m (No. 216)
Asymmetric unit:
Ho1 0.0000 0.0000 0.0000 x4
Zr1 0.0000 0.0000 0.5000 x4
Ga1 0.2500 0.2500 0.7500 x4
Os1 0.2500 0.2500 0.2500 x4

Density ... 10.9 g/cm3
Energy of formation from the pure elements ... -1.5 eV/f.u.
DOS(E_F) ... 1.9 states/eV/f.u.

Record 2
Computed, not measured: a geometry-optimized HoGaP2 structure at the GGA-PBE level of DFT.

Cell: 3.4982 3.4982 25.4545 Å, 90.00 90.00 120.00°
Space group R-3m (No. 166, hexagonal axes)
Asymmetric unit:
Ho1 0.0000 0.0000 0.0000 x3
Ga1 0.0000 0.0000 0.5000 x3
P1 0.0000 0.0000 0.1080 x6

Density ... 5.5 g/cm3
Energy of formation from the pure elements ... 0.6 eV/f.u.
DOS(E_F) ... 2.0 states/eV/f.u.

Record 3
Computed, not measured: a geometry-optimized HoGaP structure at the GGA-PBE level of DFT.

Cell: 4.6628 4.6628 22.8954 Å, 90.00 90.00 120.00°
Space group R-3m (No. 166, hexagonal axes)
Asymmetric unit:
Ho1 0.0000 0.0000 0.2242 x6
Ga1 0.0000 0.0000 0.3552 x6
P1 0.0000 0.0000 0.1027 x6

Density ... 6.1 g/cm3
Energy of formation from the pure elements ... -1.7 eV/f.u.
DOS(E_F) ... 2.0 states/eV/f.u.